Material: Tl2NiTe2
Method: DFT, PBE
State: relaxed

a = 8.988 Å, b = 8.988 Å, c = 8.988 Å
α = 153.15°, β = 153.15°, γ = 38.34°
Last column: magnetic moment on the atom in μB.
Atoms (fractional coordinates):
Tl  0.250  0.750  0.500  0.01
Tl  0.750  0.250  0.500  0.01
Ni  0.000  0.000  0.000  0.86
Te  0.583  0.583  0.000  0.10
Te  0.417  0.417  0.000  0.10

Properties
energy: -14.21 eV for the cell shown
ΔE_f (raw): 0.518 eV per atom
SG: I4/mmm, No. 139
ρ: 8.11 g/cm³